(1)
A plane-wave DFT calculation with SCAN was carried out for Sc2CuPt at its PBEsol-relaxed geometry.

a = 4.5717 Å, b = 4.5717 Å, c = 4.5717 Å
α = 60.00°, β = 60.00°, γ = 60.00°
Element x y z (fractional)
Sc: 0.2500 0.2500 0.2500
Sc: 0.7500 0.7500 0.7500
Cu: 0.0000 0.0000 0.0000
Pt: 0.5000 0.5000 0.5000

## Properties
Energy of formation in eV per atom: -0.9783
SG: Fm-3m
Mass density in kg/m³: 8566


(2)
A plane-wave DFT calculation with SCAN was carried out for ScCu2Pt at its PBEsol-relaxed geometry.

a = 4.3184 Å, b = 4.3184 Å, c = 4.3184 Å
α = 60.00°, β = 60.00°, γ = 60.00°
Element x y z (fractional)
Sc: 0.0000 0.0000 0.0000
Cu: 0.2500 0.2500 0.2500
Cu: 0.7500 0.7500 0.7500
Pt: 0.5000 0.5000 0.5000

## Properties
Energy of formation in eV per atom: -0.5708
SG: Fm-3m
Mass density in kg/m³: 10706


(3)
A plane-wave DFT calculation with SCAN was carried out for Cu3PtSe at its PBEsol-relaxed geometry.

a = 4.3580 Å, b = 4.3580 Å, c = 4.3580 Å
α = 90.00°, β = 90.00°, γ = 90.00°
Element x y z (fractional)
Cu: 0.0000 0.0000 0.5000
Cu: 0.0000 0.5000 0.0000
Cu: 0.5000 0.0000 0.0000
Pt: 0.5000 0.5000 0.5000
Se: 0.0000 0.0000 0.0000

## Properties
E_form (uncorrected) in meV/atom: 670
SG: Pm-3m
Energy above the most stable polymorph in this dataset in eV/atom: 0.000
Mass density in kg/m³: 9323


Spin magnetization / μB per formula unit: 0.0, 0.0, 0.0